# NaNiAuO2

A geometry-optimized NaNiAuO2 structure (PBE with a Hubbard U, Alexandria).

Cell: 5.4320 5.1460 5.8418 Å, 90.00 98.05 90.00°
Closest atoms and distances in Å follow each position.
Positions (direct):
Na  0.0000  0.1501  0.2500  4 O 2.32-2.55
Na  0.0000  0.8499  0.7500  4 O 2.32-2.55
Ni  0.5000  0.0498  0.7500  4 O 2.02
Ni  0.5000  0.9502  0.2500  4 O 2.02
Au  0.5000  0.5000  0.0000  2 O 2.09
Au  0.5000  0.5000  0.5000  2 O 2.09
O  0.2942  0.1560  0.9977  2 Ni 2.02, 1 Au 2.09
O  0.2942  0.8440  0.4977  2 Ni 2.02, 1 Au 2.09
O  0.7058  0.1560  0.5023  2 Ni 2.02, 1 Au 2.09
O  0.7058  0.8440  0.0023  2 Ni 2.02, 1 Au 2.09

## Properties
For the uncorrected energy, the calculation gives -41.9 eV for the cell shown. As for the symmetry: No. 13.